A plane-wave DFT calculation with GGA-PBE was carried out for an optimized crystal structure of MgScTc2.

Lattice parameters (Å, degrees): 3.3687 4.4246 4.4391 90.00 90.00 90.00
With the nearest neighbours (Å) after each atom.
Element x y z (fractional)
Mg 0.0000 0.0000 0.0000  4 Sc 2.78, 4 Tc 2.79
Sc 0.5000 0.5000 0.0000  4 Mg 2.78, 4 Tc 2.79
Tc 0.0000 0.5000 0.5000  4 Tc 2.78, 4 Sc 2.79
Tc 0.5000 0.0000 0.5000  4 Tc 2.78, 4 Mg 2.79

Calculated values
**Symmetry**: No. 47
**E_form**: 0.110 eV/atom

---

A plane-wave DFT calculation with GGA-PBE was carried out for an optimized crystal structure of HgIrBr2.

Lattice parameters (Å, degrees): 3.7488 3.7488 7.6356 90.00 90.00 90.00
With the nearest neighbours (Å) after each atom.
Element x y z (fractional)
Hg 0.0000 0.0000 0.0000  4 Ir 2.73, 1 Br 2.80
Ir 0.5000 0.5000 0.0862  1 Br 2.46, 4 Hg 2.73
Br 0.0000 0.0000 0.3671  1 Hg 2.80
Br 0.5000 0.5000 0.7637  1 Ir 2.46

Calculated values
**Symmetry**: No. 99
**Polymorph energy (0 for the lowest one)**: 0.487 eV/atom
**E_form (uncorrected)**: 0.566 eV per atom